Entry from the Alexandria database: an optimized crystal structure of Sc2TiBiB (PBE).

## Properties
- total magnetization (μB/cell) = 0.12
- calculated density (g/cm3) = 6.2
- energy above the most stable polymorph in this dataset (eV/atom) = 0.000
- formation energy (eV per atom) = -0.4563
- Fermi-level density of states (states/eV/cell) = 3.7
- crystal system = tetragonal
- VASP energy (eV per atom) = -6.680

abc: 4.6616 4.6616 4.4242
angles: 90.00 90.00 90.00
Fractional coordinates of all 5 atoms:
Sc (0.0000, 0.5000, 0.0000)
Sc (0.5000, 0.0000, 0.0000)
B (0.0000, 0.0000, 0.0000)
Bi (0.5000, 0.5000, 0.5000)
Ti (0.0000, 0.0000, 0.5000)



Entry from the Alexandria database: an optimized crystal structure of KBaTc2P (PBE).

## Properties
- total magnetization (μB/cell) = 3.33
- calculated density (g/cm3) = 5.1
- formation energy (eV per atom) = 2.3939
- Fermi-level density of states (states/eV/cell) = 6.3
- crystal system = tetragonal
- VASP energy (eV per atom) = -3.439

abc: 4.7495 5.7701 4.7495
angles: 90.00 90.00 90.00
Fractional coordinates of all 5 atoms:
P (0.5000, 0.5000, 0.5000)
K (0.0000, 0.0000, 0.0000)
Ba (0.0000, 0.5000, 0.0000)
Tc (0.0000, 0.0000, 0.5000)
Tc (0.5000, 0.0000, 0.0000)



Entry from the Alexandria database: an optimized crystal structure of Cs2AcTeO6 (PBE).

## Properties
- total magnetization (μB/cell) = 1.08
- calculated density (g/cm3) = 4.4
- Fermi-level density of states (states/eV/cell) = 1.5
- formation energy (no corrections) (eV per atom) = -1.672
- crystal system = trigonal
- VASP energy (eV per atom) = -5.543

abc: 6.4133 6.9673 6.9673
angles: 120.00 90.00 90.00
Fractional coordinates of all 10 atoms:
Cs (0.0903, 0.3333, 0.6667)
Cs (0.9097, 0.6667, 0.3333)
Ac (0.5000, 0.0000, 0.0000)
Te (0.0000, 0.0000, 0.0000)
O (0.8133, 0.1292, 0.2584)
O (0.8133, 0.1292, 0.8708)
O (0.8133, 0.7416, 0.8708)
O (0.1867, 0.8708, 0.1292)
O (0.1867, 0.2584, 0.1292)
O (0.1867, 0.8708, 0.7416)



Entry from the Alexandria database: an optimized crystal structure of TiTcC2 (PBE).

## Properties
- total magnetization (μB/cell) = 0.00
- calculated density (g/cm3) = 7.3
- energy above the most stable polymorph in this dataset (eV/atom) = 0.610
- formation energy (eV per atom) = 0.3743
- Fermi-level density of states (states/eV/cell) = 2.2
- crystal system = cubic
- VASP energy (eV per atom) = -8.803

abc: 3.7866 3.7866 3.7866
angles: 60.00 60.00 60.00
Fractional coordinates of all 4 atoms:
C (0.2500, 0.2500, 0.2500)
C (0.7500, 0.7500, 0.7500)
Tc (0.5000, 0.5000, 0.5000)
Ti (0.0000, 0.0000, 0.0000)



Entry from the Alexandria database: an optimized crystal structure of GaFe2W (PBE).

## Properties
- total magnetization (μB/cell) = 0.25
- calculated density (g/cm3) = 12.0
- formation energy (eV per atom) = -0.0140
- Fermi-level density of states (states/eV/cell) = 3.6
- crystal system = tetragonal
- VASP energy (eV per atom) = -8.240

abc: 2.8874 2.8874 6.0546
angles: 90.00 90.00 90.00
Fractional coordinates of all 4 atoms:
Ga (0.5000, 0.5000, 0.0000)
W (0.5000, 0.5000, 0.5000)
Fe (0.0000, 0.0000, 0.7589)
Fe (0.0000, 0.0000, 0.2411)



Entry from the Alexandria database: an optimized crystal structure of Hf2InTeO (PBE).

## Properties
- total magnetization (μB/cell) = 0.00
- calculated density (g/cm3) = 6.5
- Fermi-level density of states (states/eV/cell) = 6.0
- formation energy (no corrections) (eV per atom) = 1.433
- crystal system = tetragonal
- VASP energy (eV per atom) = -4.716

abc: 5.2400 5.6832 5.2400
angles: 90.00 90.00 90.00
Fractional coordinates of all 5 atoms:
Te (0.0000, 0.0000, 0.0000)
Hf (0.0000, 0.0000, 0.5000)
Hf (0.5000, 0.0000, 0.0000)
O (0.5000, 0.5000, 0.5000)
In (0.0000, 0.5000, 0.0000)



VASP energy of number 1 (Sc2TiBiB)?
-6.680 eV per atom